# KAgHg4 (PBE, relaxed)
# Calculated total energy = -0.950 eV per atom
# Energy of formation from the pure elements = -0.091 eV/atom
# M_tot = 0.0 μB/f.u.
# Crystal system = monoclinic
data_KAgHg4
_chemical_formula_sum 'K4 Ag4 Hg16'
_cell_length_a 17.745
_cell_length_b 7.806
_cell_length_c 5.347
_cell_angle_alpha 90.00
_cell_angle_beta 99.62
_cell_angle_gamma 90.00
_symmetry_space_group_name_H-M 'C 1 2/m 1'
_symmetry_Int_Tables_number 12
_symmetry_space_group_name_Hall '-C 2y'
loop_
_atom_site_label
_atom_site_fract_x
_atom_site_fract_y
_atom_site_fract_z
K1 0.183 0.000 0.219
Ag1 0.027 0.500 0.269
Hg1 0.000 0.182 0.000
Hg2 0.126 0.284 0.680
Hg3 0.192 0.500 0.214